# PBE TbP3Pt6, relaxed
data_TbP3Pt6
_chemical_formula_sum 'Tb1 P3 Pt6'
_cell_length_a 6.309
_cell_length_b 6.309
_cell_length_c 6.309
_cell_angle_alpha 60.18
_cell_angle_beta 60.18
_cell_angle_gamma 60.18
_symmetry_space_group_name_H-M 'P 1'
_symmetry_Int_Tables_number 1
_symmetry_space_group_name_Hall 'P 1'
loop_
_atom_site_label
_atom_site_fract_x
_atom_site_fract_y
_atom_site_fract_z
Tb1 0.000 0.000 0.000
P1 0.289 0.289 0.289
P2 0.555 0.555 0.555
P3 0.806 0.806 0.806
Pt1 0.192 0.437 0.902
Pt2 0.437 0.902 0.192
Pt3 0.489 0.590 0.974
Pt4 0.590 0.974 0.489
Pt5 0.902 0.192 0.437
Pt6 0.974 0.489 0.590
# Raw total energy: -6.348 eV per atom